(1)
CaCrC after structural relaxation. Source: Alexandria, functional PBE.

Cell lengths 3.3215, 3.3215, 8.7435 Å; angles 90.00, 90.00, 90.00 degrees
Closest atoms and distances in Å follow each position.
Space group P4/nmm (No. 129, origin choice 2)
Asymmetric unit:
1 Ca 0.2500 0.2500 0.2026  4 C 2.70
2 Cr 0.2500 0.7500 0.5000  4 C 2.09
3 C 0.2500 0.2500 0.6448  4 Cr 2.09

Output
Magnetic moment, μB per formula unit: 0.0
Energy of formation, eV/f.u.: -0.1

=====

(2)
TlAgGe after structural relaxation. Source: Alexandria, functional PBE.

Cell lengths 7.8747, 4.5478, 7.6803 Å; angles 90.00, 90.00, 90.00 degrees
Closest atoms and distances in Å follow each position.
Space group Pnma (No. 62)
Asymmetric unit:
1 Tl 0.0041 0.2500 0.1730  5 Ge 3.03-3.32, 3 Ag 3.17-3.20
2 Ag 0.1256 0.2500 0.5664  4 Ge 2.74-2.81
3 Ge 0.2282 0.7500 0.3896  4 Ag 2.74-2.81, 1 Tl 3.03

Output
Magnetic moment, μB per formula unit: 0.0
Energy of formation, eV/f.u.: 0.7

=====

(3)
BeB3C after structural relaxation. Source: Alexandria, functional PBE.

Cell lengths 3.3520, 3.3520, 3.3520 Å; angles 90.00, 90.00, 90.00 degrees
Closest atoms and distances in Å follow each position.
Space group Pm-3m (No. 221)
Asymmetric unit:
1 Be 0.0000 0.0000 0.0000  12 B 2.37
2 B 0.0000 0.5000 0.5000  2 C 1.68
3 C 0.5000 0.5000 0.5000  6 B 1.68

Output
Energy relative to the lowest polymorph listed for this composition, eV/atom: 0.0000
Magnetic moment, μB per formula unit: 0.0
Energy of formation, eV/f.u.: 9.1

=====

| no. | DOS at the Fermi energy (states/eV per atom) | electronic total energy (eV/atom) |
| --- | --- | --- |
| 1 | 0.64 | -6.97 |
| 2 | 0.43 | -3.06 |
| 3 | 0.62 | -4.78 |